1.
ZnIr2WCl: relaxed, PBE.

Structure (POSCAR):
```
ZnIr2WCl
1.0
-3.9234 2.3429 -0.6904
-2.1900 -3.7229 -0.1888
-0.6968 0.1784 4.5653
W Zn Ir Cl
1 1 2 1
Direct
0.5000 0.5000 0.5000
0.0000 0.0000 0.0000
0.5000 0.0000 0.0000
0.0000 0.0000 0.5000
0.0000 0.5000 0.0000
```

Properties
The space-group type is P4/mmm, No. 123. As for the crystal system: tetragonal. The formation energy without anion corrections comes out at 1927.2 meV per atom.

2.
Y2IrCl: relaxed, PBE.

Structure (POSCAR):
```
Y2IrCl
1.0
3.3172 0.0000 0.0000
0.0000 3.5619 -0.0038
0.0000 0.0138 8.1084
Ir Cl Y
1 1 2
Direct
0.5000 0.7500 0.7500
0.5000 0.2500 0.2500
0.0000 0.2495 0.9585
0.0000 0.2505 0.5415
```

Properties
The space-group type is Pmmm, No. 47. As for the crystal system: orthorhombic. The formation energy without anion corrections comes out at -1134.8 meV per atom.

3.
Y2IrCl: relaxed, PBE.

Structure (POSCAR):
```
Y2IrCl
1.0
-2.7944 2.9834 -2.8205
-4.9464 -0.4416 0.0611
-2.7821 3.5282 2.1159
Y Cl Ir
2 1 1
Direct
0.2500 0.2500 0.2500
0.0000 0.0000 0.0000
0.5000 0.5000 0.5000
0.7500 0.7500 0.7500
```

Properties
The space-group type is F-43m, No. 216. As for the crystal system: cubic. The formation energy without anion corrections comes out at 32.3 meV per atom.

4.
YIrCl2: relaxed, PBE.

Structure (POSCAR):
```
YIrCl2
1.0
-1.5525 -2.7175 -1.0178
3.9779 -2.9885 1.9120
-2.0597 -0.2701 3.8629
Ir Y Cl
1 1 2
Direct
0.5000 0.0000 0.5000
0.0000 0.5000 0.5000
0.5000 0.5000 0.0000
0.0000 0.0000 0.0000
```

Properties
The space-group type is Pmmm, No. 47. As for the crystal system: orthorhombic. The formation energy without anion corrections comes out at -486.7 meV per atom.

5.
YIrCl2: relaxed, PBE.

Structure (POSCAR):
```
YIrCl2
1.0
-2.0282 -2.3202 -3.0240
2.0753 -3.5455 1.3284
-2.9885 -0.7754 2.5993
Ir Cl Y
1 2 1
Direct
0.5000 0.0000 0.5000
0.5000 0.5000 0.0000
0.0000 0.0000 0.0000
0.0000 0.5000 0.5000
```

Properties
The space-group type is P4/mmm, No. 123. As for the crystal system: tetragonal. The formation energy without anion corrections comes out at -370.8 meV per atom.

6.
YIrCl2: relaxed, PBE.

Structure (POSCAR):
```
YIrCl2
1.0
-1.1074 -3.0444 -4.5438
3.0129 -4.5717 -1.0780
-2.7642 2.2667 4.2851
Cl Ir Y
2 1 1
Direct
0.0000 0.0000 0.0000
0.2500 0.7500 0.5000
0.5000 0.5000 0.0000
0.7500 0.2500 0.5000
```

Properties
The space-group type is I-4m2, No. 119. As for the crystal system: tetragonal. The formation energy without anion corrections comes out at -472.4 meV per atom.

7.
Y2Ir2Cl: relaxed, PBE.

Structure (POSCAR):
```
Y2Ir2Cl
1.0
-1.9576 1.9576 8.0402
1.9576 -1.9576 8.0402
1.9576 1.9576 -8.0402
Y Ir Cl
2 2 1
Direct
0.3701 0.3701 0.0000
0.6299 0.6299 0.0000
0.7500 0.2500 0.5000
0.2500 0.7500 0.5000
0.0000 0.0000 0.0000
```

Properties
The space-group type is I4/mmm, No. 139. As for the crystal system: tetragonal. The formation energy without anion corrections comes out at -722.3 meV per atom.

8.
YIr2Cl2: relaxed, PBE.

Structure (POSCAR):
```
YIr2Cl2
1.0
7.0451 0.0000 0.0000
0.0000 7.0451 0.0000
0.0000 0.0000 4.5087
Ir Cl Y
4 4 2
Direct
0.1286 0.3714 0.0000
0.6286 0.1286 0.0000
0.8714 0.6286 0.0000
0.3714 0.8714 0.0000
0.1975 0.3025 0.5000
0.3025 0.8025 0.5000
0.6975 0.1975 0.5000
0.8025 0.6975 0.5000
0.0000 0.0000 0.0000
0.5000 0.5000 0.0000
```

Properties
The space-group type is P4/mbm, No. 127. As for the crystal system: tetragonal. The formation energy without anion corrections comes out at -63.5 meV per atom.

9.
Y2IrCl: relaxed, PBE.

Structure (POSCAR):
```
Y2IrCl
1.0
10.3644 0.0652 0.0385
9.7385 3.5477 0.0385
9.7385 1.7502 3.0862
Y Cl Ir
2 1 1
Direct
0.2396 0.2396 0.2396
0.0108 0.0108 0.0108
0.5132 0.5132 0.5132
0.7364 0.7364 0.7364
```

Properties
The space-group type is R3m, No. 160. As for the crystal system: trigonal. The formation energy without anion corrections comes out at -403.3 meV per atom.

10.
Y2IrCl: relaxed, PBE.

Structure (POSCAR):
```
Y2IrCl
1.0
-4.1061 0.7630 2.7232
-3.8747 2.4471 -1.9639
-4.2037 -2.4501 -1.0879
Ir Y Cl
1 2 1
Direct
0.5000 0.5000 0.5000
0.7500 0.7500 0.7500
0.2500 0.2500 0.2500
0.0000 0.0000 0.0000
```

Properties
The space-group type is Fm-3m, No. 225. As for the crystal system: cubic. The formation energy without anion corrections comes out at -770.2 meV per atom.

11.
YIrCl2: relaxed, PBE.

Structure (POSCAR):
```
YIrCl2
1.0
4.3988 0.0000 0.0000
0.0000 4.3988 0.0000
2.1994 2.1994 8.5326
Y Cl Ir
2 4 2
Direct
0.5000 0.5000 0.0000
0.2500 0.7500 0.5000
0.6461 0.1250 0.2500
0.3750 0.3539 0.7500
0.8750 0.8961 0.7500
0.1039 0.6250 0.2500
0.7500 0.2500 0.5000
0.0000 0.0000 0.0000
```

Properties
The space-group type is I-42d, No. 122. As for the crystal system: tetragonal. The formation energy without anion corrections comes out at -603.5 meV per atom.

12.
YIrCl6: relaxed, PBE.

Structure (POSCAR):
```
YIrCl6
1.0
-5.3718 -2.3433 -2.3449
-2.9220 -4.7536 2.9506
-5.7663 1.4081 3.3083
Cl Ir Y
6 1 1
Direct
0.7742 0.0732 0.7631
0.9268 0.6105 0.2368
0.2258 0.9268 0.2369
0.0732 0.3895 0.7632
0.3895 0.7742 0.7631
0.6105 0.2258 0.2369
0.0000 0.0000 0.0000
0.5000 0.5000 0.5000
```

Properties
The space-group type is R-3, No. 148. As for the crystal system: trigonal. The formation energy without anion corrections comes out at -1263.1 meV per atom.

13.
YIrCl2: relaxed, PBE.

Structure (POSCAR):
```
YIrCl2
1.0
5.2134 0.0000 0.0000
1.5388 4.9811 0.0000
-3.3761 -2.4906 3.0949
Cl Y Ir
2 1 1
Direct
0.5000 0.5000 0.0000
0.0000 0.0000 0.0000
0.7500 0.2500 0.5000
0.2500 0.7500 0.5000
```

Properties
The space-group type is I4/mmm, No. 139. As for the crystal system: tetragonal. The formation energy without anion corrections comes out at -289.8 meV per atom.

14.
YIrCl2: relaxed, PBE.

Structure (POSCAR):
```
YIrCl2
1.0
7.1340 1.6488 -0.4804
3.8730 6.2138 0.4804
-5.1752 -4.3909 2.7893
Cl Y Ir
2 1 1
Direct
0.1069 0.1069 0.0000
0.3931 0.3931 0.0000
0.2500 0.7500 0.5000
0.7500 0.2500 0.5000
```

Properties
The space-group type is Immm, No. 71. As for the crystal system: orthorhombic. The formation energy without anion corrections comes out at -611.4 meV per atom.

15.
YIrCl2: relaxed, PBE.

Structure (POSCAR):
```
YIrCl2
1.0
3.9592 -1.8691 6.6874
6.2886 0.6616 4.8894
3.3040 1.9423 7.0143
Cl Ir Y
2 1 1
Direct
0.8855 0.8855 0.8855
0.1145 0.1145 0.1145
0.5000 0.5000 0.5000
0.0000 0.0000 0.0000
```

Properties
The space-group type is R-3m, No. 166. As for the crystal system: trigonal. The formation energy without anion corrections comes out at 138.9 meV per atom.

16.
Y2IrCl: relaxed, PBE.

Structure (POSCAR):
```
Y2IrCl
1.0
-3.8466 -1.0737 0.4646
1.0920 -2.7223 2.7498
-0.5976 3.9246 4.1226
Y Ir Cl
2 1 1
Direct
0.0000 0.0000 0.8750
0.5000 0.5000 0.3749
0.5000 0.5000 0.8750
0.0000 0.0000 0.3751
```

Properties
The space-group type is P4/mmm, No. 123. As for the crystal system: tetragonal. The formation energy without anion corrections comes out at -1004.0 meV per atom.

17.
YIr2Cl2: relaxed, PBE.

Structure (POSCAR):
```
YIr2Cl2
1.0
-0.4138 1.2054 -3.9432
-0.1940 -3.9643 -1.1915
-6.1205 -1.2868 -1.9286
Cl Ir Y
2 2 1
Direct
0.7500 0.2500 0.5000
0.2500 0.7500 0.5000
0.6003 0.6003 0.7995
0.3997 0.3997 0.2005
0.0000 0.0000 0.0000
```

Properties
The space-group type is I4/mmm, No. 139. As for the crystal system: tetragonal. The formation energy without anion corrections comes out at -32.2 meV per atom.

18.
YIrCl2: relaxed, PBE.

Structure (POSCAR):
```
YIrCl2
1.0
-0.7048 1.5693 -2.6331
-2.6367 -1.6881 -0.3009
-5.1531 7.0537 5.5834
Cl Y Ir
2 1 1
Direct
0.0000 0.0000 0.5916
0.0000 0.0000 0.9084
0.5000 0.5000 0.7500
0.5000 0.5000 0.2500
```

Properties
The space-group type is P4/mmm, No. 123. As for the crystal system: tetragonal. The formation energy without anion corrections comes out at -219.2 meV per atom.

19.
Y3IrCl: relaxed, PBE.

Structure (POSCAR):
```
Y3IrCl
1.0
-3.5174 -0.1731 -4.1697
-0.1775 -5.4420 0.3757
-4.1695 0.3777 3.5016
Ir Y Cl
1 3 1
Direct
0.0000 0.0000 0.0000
0.0000 0.5000 0.0000
0.0000 0.0000 0.5000
0.5000 0.0000 0.0000
0.5000 0.5000 0.5000
```

Properties
The space-group type is Pm-3m, No. 221. As for the crystal system: cubic. The formation energy without anion corrections comes out at -483.9 meV per atom.

20.
YIrCl2: relaxed, PBE.

Structure (POSCAR):
```
YIrCl2
1.0
10.4726 0.0043 0.0025
9.9525 3.2591 0.0025
9.9525 1.5902 2.8449
Cl Ir Y
2 1 1
Direct
0.4772 0.4772 0.4772
0.0228 0.0228 0.0228
0.2500 0.2500 0.2500
0.7500 0.7500 0.7500
```

Properties
The space-group type is R-3m, No. 166. As for the crystal system: trigonal. The formation energy without anion corrections comes out at -182.3 meV per atom.